# 1
Computed, not measured: an optimized crystal structure of TmLuAlIr at the PBE-GGA level of DFT.

## Properties
- formation enthalpy at 0 K (eV per atom) = -0.638

abc: 6.9073 6.9073 6.9073
angles: 90.00 90.00 90.00
Last column: nearest neighbours and their distance in Å.
Space group F-43m (No. 216)
Unique sites:
1 Tm 0.0000 0.0000 0.0000 [4 per cell]  4 Al 2.99, 4 Ir 2.99
2 Lu 0.0000 0.0000 0.5000 [4 per cell]  4 Ir 2.99, 4 Al 2.99
3 Al 0.2500 0.2500 0.2500 [4 per cell]  4 Tm 2.99, 4 Lu 2.99
4 Ir 0.2500 0.2500 0.7500 [4 per cell]  4 Tm 2.99, 4 Lu 2.99

# 2
Computed, not measured: an optimized crystal structure of ZrInCu at the PBE-GGA level of DFT.

## Properties
- formation enthalpy at 0 K (eV per atom) = -0.119

abc: 11.8373 3.0653 6.5607
angles: 90.00 106.20 90.00
Last column: nearest neighbours and their distance in Å.
Space group C2/m (No. 12)
Unique sites:
1 Zr 0.0165 0.0000 0.2470 [4 per cell]  4 Cu 2.89-2.91, 3 Zr 3.07-3.15, 4 In 3.11-3.19
2 In 0.1866 0.5000 0.6398 [4 per cell]  3 Cu 2.74-2.77, 2 In 3.07
3 Cu 0.1650 0.5000 0.0454 [4 per cell]  2 Cu 2.72, 3 In 2.74-2.77, 4 Zr 2.89-2.91

# 3
Computed, not measured: an optimized crystal structure of Nd2Hg4Pb3 at the PBE-GGA level of DFT.

## Properties
- formation enthalpy at 0 K (eV per atom) = -0.298

abc: 9.0405 5.4562 10.1671
angles: 90.00 93.99 90.00
Last column: nearest neighbours and their distance in Å.
Space group C2/m (No. 12)
Unique sites:
1 Nd 0.1744 0.0000 0.2853 [4 per cell]  7 Hg 3.24-3.32, 2 Pb 3.54
2 Hg 0.0053 0.5000 0.1669 [4 per cell]  4 Pb 3.24-3.39, 3 Nd 3.30-3.31, 1 Hg 3.39
3 Hg 0.1629 0.0000 0.6107 [4 per cell]  4 Nd 3.24-3.32, 4 Pb 3.26-3.32, 2 Hg 3.58-3.63
4 Pb 0.0000 0.5000 0.5000 [2 per cell]  8 Hg 3.26-3.39, 2 Nd 3.54
5 Pb 0.1642 0.0000 0.9362 [4 per cell]  4 Hg 3.24-3.31, 3 Pb 3.32-3.35, 1 Nd 3.54

# 4
Computed, not measured: an optimized crystal structure of SnSbWI2 at the PBE-GGA level of DFT.

## Properties
- energy above the most stable polymorph in this dataset (kJ per mole of atoms) = 70.9
- formation energy without anion corrections (meV/atom) = 1511

abc: 5.8358 5.8358 5.9466
angles: 90.00 90.00 90.00
Last column: nearest neighbours and their distance in Å.
Space group P4/mmm (No. 123)
Unique sites:
1 Sn 0.0000 0.0000 0.0000 [1 per cell]  4 I 2.92, 2 Sb 2.97
2 Sb 0.0000 0.0000 0.5000 [1 per cell]  2 Sn 2.97
3 W 0.5000 0.5000 0.5000 [1 per cell]  4 Sb 4.13, 8 I 4.17
4 I 0.0000 0.5000 0.0000 [2 per cell]  2 Sn 2.92

Please write out number 4 again, unchanged.
Computed, not measured: an optimized crystal structure of SnSbWI2 at the PBE-GGA level of DFT.

## Properties
- energy above the most stable polymorph in this dataset (kJ per mole of atoms) = 70.9
- formation energy without anion corrections (meV/atom) = 1511

abc: 5.8358 5.8358 5.9466
angles: 90.00 90.00 90.00
Last column: nearest neighbours and their distance in Å.
Space group P4/mmm (No. 123)
Unique sites:
1 Sn 0.0000 0.0000 0.0000 [1 per cell]  4 I 2.92, 2 Sb 2.97
2 Sb 0.0000 0.0000 0.5000 [1 per cell]  2 Sn 2.97
3 W 0.5000 0.5000 0.5000 [1 per cell]  4 Sb 4.13, 8 I 4.17
4 I 0.0000 0.5000 0.0000 [2 per cell]  2 Sn 2.92

Please write out number 2 again, unchanged.
Computed, not measured: an optimized crystal structure of ZrInCu at the PBE-GGA level of DFT.

## Properties
- formation enthalpy at 0 K (eV per atom) = -0.119

abc: 11.8373 3.0653 6.5607
angles: 90.00 106.20 90.00
Last column: nearest neighbours and their distance in Å.
Space group C2/m (No. 12)
Unique sites:
1 Zr 0.0165 0.0000 0.2470 [4 per cell]  4 Cu 2.89-2.91, 3 Zr 3.07-3.15, 4 In 3.11-3.19
2 In 0.1866 0.5000 0.6398 [4 per cell]  3 Cu 2.74-2.77, 2 In 3.07
3 Cu 0.1650 0.5000 0.0454 [4 per cell]  2 Cu 2.72, 3 In 2.74-2.77, 4 Zr 2.89-2.91